Entry 1:
Here is an optimized crystal structure of BeCuNi2 from the Alexandria database. Energies are from PBE-GGA.

Output
Crystal system = tetragonal

```
BeCuNi2
1.0
2.5623 0.0000 0.0000
0.0000 2.5623 0.0000
0.0000 0.0000 6.1925
Ni Cu Be
2 1 1
Direct
0.0000 0.0000 0.0062
0.5000 0.5000 0.2812
0.5000 0.5000 0.7251
0.0000 0.0000 0.4874
```



Entry 2:
Here is an optimized crystal structure of Be6Cu3Ni from the Alexandria database. Energies are from PBE-GGA.

Output
Crystal system = monoclinic

```
Be6Cu3Ni
1.0
3.7306 0.0000 0.0000
0.0000 6.2233 -1.9225
0.0000 0.1341 7.9522
Be Cu Ni
12 6 2
Direct
0.2500 0.4381 0.1036
0.7500 0.5619 0.8964
0.2500 0.1394 0.2046
0.7500 0.8606 0.7954
0.2500 0.6629 0.7080
0.7500 0.3371 0.2920
0.2500 0.2346 0.4975
0.7500 0.7654 0.5025
0.2500 0.8578 0.3157
0.7500 0.1422 0.6843
0.2500 0.0433 0.9047
0.7500 0.9567 0.0953
0.2500 0.5446 0.4003
0.7500 0.4554 0.5997
0.2500 0.3519 0.8011
0.7500 0.6481 0.1989
0.2500 0.7537 0.0105
0.7500 0.2463 0.9895
0.2500 0.9489 0.6091
0.7500 0.0511 0.3909
```



Entry 3:
Here is an optimized crystal structure of Be3CuNi2 from the Alexandria database. Energies are from PBE-GGA.

Output
Crystal system = orthorhombic
Relative energy among the computed polymorphs = 0.047 eV per formula unit

```
Be3CuNi2
1.0
-1.6928 -1.2197 -1.5436
1.7281 1.4278 -3.0233
2.5475 -5.2223 1.3326
Be Cu Ni
3 1 2
Direct
0.5000 0.5000 0.0000
0.5000 0.8260 0.6520
0.5000 0.1740 0.3480
0.0000 0.0000 0.0000
0.0000 0.3366 0.6731
0.0000 0.6634 0.3269
```



Entry 4:
Here is an optimized crystal structure of BeCu2Ni from the Alexandria database. Energies are from PBE-GGA.

Output
Crystal system = tetragonal

```
BeCu2Ni
1.0
4.2140 0.0001 0.0000
1.2262 4.0317 0.0000
-2.7201 -2.0159 2.5090
Ni Cu Be
1 2 1
Direct
0.5000 0.5000 0.0000
0.0000 0.0000 0.0000
0.2500 0.7500 0.5000
0.7500 0.2500 0.5000
```



Entry 5:
Here is an optimized crystal structure of BeCuNi2 from the Alexandria database. Energies are from PBE-GGA.

Output
Crystal system = trigonal

```
BeCuNi2
1.0
-2.7413 4.6652 -5.6874
-3.1086 2.4635 -6.7745
-4.8071 3.3738 -5.2091
Ni Cu Be
2 1 1
Direct
0.9919 0.9919 0.9919
0.5081 0.5081 0.5081
0.7500 0.7500 0.7500
0.2500 0.2500 0.2500
```



Entry 6:
Here is an optimized crystal structure of BeCu2Ni2 from the Alexandria database. Energies are from PBE-GGA.

Output
Crystal system = tetragonal
Relative energy among the computed polymorphs = 1.951 eV per formula unit

```
BeCu2Ni2
1.0
5.6307 0.0000 0.0000
0.0000 5.6307 0.0000
0.0000 0.0000 3.6058
Ni Cu Be
4 4 2
Direct
0.1607 0.6607 0.5000
0.6607 0.8393 0.5000
0.8393 0.3393 0.5000
0.3393 0.1607 0.5000
0.3547 0.8547 0.0000
0.8547 0.6453 0.0000
0.6453 0.1453 0.0000
0.1453 0.3547 0.0000
0.0000 0.0000 0.0000
0.5000 0.5000 0.0000
```



Entry 7:
Here is an optimized crystal structure of BeCu2Ni from the Alexandria database. Energies are from PBE-GGA.

Output
Crystal system = tetragonal

```
BeCu2Ni
1.0
-0.8056 -2.4101 -2.1244
2.1788 -2.0194 1.4647
-5.3159 -4.8619 4.9494
Ni Cu Be
2 4 2
Direct
0.0000 0.0000 0.0000
0.7500 0.2500 0.5000
0.6199 0.1250 0.2500
0.1301 0.6250 0.2500
0.3750 0.3801 0.7500
0.8750 0.8699 0.7500
0.5000 0.5000 0.0000
0.2500 0.7500 0.5000
```



Entry 8:
Here is an optimized crystal structure of BeCuNi2 from the Alexandria database. Energies are from PBE-GGA.

Output
Crystal system = tetragonal

```
BeCuNi2
1.0
-1.7492 1.9935 -0.7841
-0.2190 -1.5754 -3.5167
-2.9816 -2.1622 1.1542
Ni Cu Be
2 1 1
Direct
0.0000 0.0000 0.0000
0.0000 0.5000 0.5000
0.5000 0.0000 0.5000
0.5000 0.5000 0.0000
```



Entry 9:
Here is an optimized crystal structure of Be2Cu2Ni from the Alexandria database. Energies are from PBE-GGA.

Output
Crystal system = tetragonal
Relative energy among the computed polymorphs = 0.787 eV per formula unit

```
Be2Cu2Ni
1.0
-3.5763 -4.2321 -3.2690
4.5314 -4.4866 0.8511
-1.0957 -0.7059 2.1125
Ni Cu Be
2 4 4
Direct
0.0000 0.0000 0.0000
0.5000 0.5000 0.0000
0.3668 0.8668 0.0000
0.8668 0.6332 0.0000
0.6332 0.1332 0.0000
0.1332 0.3668 0.0000
0.1667 0.6667 0.5000
0.6667 0.8333 0.5000
0.8333 0.3333 0.5000
0.3333 0.1667 0.5000
```



Entry 10:
Here is an optimized crystal structure of Be5Cu4Ni from the Alexandria database. Energies are from PBE-GGA.

Output
Crystal system = tetragonal

```
Be5Cu4Ni
1.0
-0.4762 1.5672 -2.1164
-2.6330 -0.3217 0.3543
-0.2349 10.7494 8.0129
Be Cu Ni
5 4 1
Direct
0.5000 0.5000 0.0934
0.5000 0.5000 0.3002
0.5000 0.5000 0.5000
0.5000 0.5000 0.6998
0.5000 0.5000 0.9066
0.0000 0.0000 0.1974
0.0000 0.0000 0.3993
0.0000 0.0000 0.6007
0.0000 0.0000 0.8026
0.0000 0.0000 0.0000
```



Entry 11:
Here is an optimized crystal structure of Be2Cu2Ni from the Alexandria database. Energies are from PBE-GGA.

Output
Crystal system = orthorhombic
Relative energy among the computed polymorphs = 0.000 eV per formula unit

```
Be2Cu2Ni
1.0
2.5829 0.0000 0.0000
0.0000 2.6044 0.4935
0.0000 -0.0850 7.5683
Be Cu Ni
2 2 1
Direct
0.5000 0.4164 0.1672
0.5000 0.5836 0.8328
0.0000 0.1793 0.6414
0.0000 0.8207 0.3586
0.0000 0.0000 0.0000
```



Entry 12:
Here is an optimized crystal structure of BeCu2Ni from the Alexandria database. Energies are from PBE-GGA.

Output
Crystal system = tetragonal

```
BeCu2Ni
1.0
-1.9564 -2.0307 3.2557
-0.9932 -4.0354 -1.1313
3.6574 2.2628 -0.2310
Ni Cu Be
1 2 1
Direct
0.2500 0.7500 0.5000
0.0000 0.0000 0.0000
0.5000 0.5000 0.0000
0.7500 0.2500 0.5000
```



Number 1: magnetic moment 0.00 μB/f.u., energy -5.00 eV/atom. Number 2: magnetic moment 0.00 μB/f.u., energy -4.20 eV/atom. Number 3: magnetic moment 0.00 μB/f.u., energy -4.81 eV/atom. Number 4: magnetic moment 0.00 μB/f.u., energy -4.51 eV/atom. Number 5: magnetic moment 0.00 μB/f.u., energy -5.00 eV/atom. Number 6: magnetic moment 0.00 μB/f.u., energy -4.49 eV/atom. Number 7: magnetic moment 0.00 μB/f.u., energy -4.20 eV/atom. Number 8: magnetic moment 0.00 μB/f.u., energy -4.98 eV/atom. Number 9: magnetic moment 0.00 μB/f.u., energy -4.29 eV/atom. Number 10: magnetic moment 0.00 μB/f.u., energy -4.26 eV/atom. Number 11: magnetic moment 0.00 μB/f.u., energy -4.45 eV/atom. Number 12: magnetic moment 0.00 μB/f.u., energy -4.48 eV/atom.